*i*
A plane-wave DFT calculation with PBE-GGA was carried out for Ga2Co2Pb after structural relaxation.

Cell: 7.1406 7.1406 3.0121 Å, 90.00 90.00 90.00°
With the nearest neighbours (Å) after each atom.
Space group P4/mbm (No. 127)
Symmetry-distinct sites (fractional):
1 Ga 0.1419 0.3581 0.0000 (multiplicity 4)  6 Co 2.56-2.61
2 Co 0.1473 0.6473 0.5000 (multiplicity 4)  6 Ga 2.56-2.61, 2 Pb 2.73
3 Pb 0.0000 0.0000 0.5000 (multiplicity 2)  4 Co 2.73, 2 Pb 3.01

Summary:
size of the total moment	1.18	Bohr magnetons per cell


*ii*
A plane-wave DFT calculation with PBE-GGA was carried out for Ga2Co2Pb after structural relaxation.

Cell: 3.6459 3.6459 11.8005 Å, 90.00 90.00 90.00°
With the nearest neighbours (Å) after each atom.
Space group I4/mmm (No. 139)
Symmetry-distinct sites (fractional):
1 Ga 0.0000 0.5000 0.2500 (multiplicity 4)  4 Co 2.49, 4 Ga 2.58
2 Co 0.0000 0.0000 0.1062 (multiplicity 4)  4 Ga 2.49, 1 Co 2.51
3 Pb 0.0000 0.0000 0.5000 (multiplicity 2)  8 Co 2.87

Summary:
size of the total moment	0.00	Bohr magnetons per cell


*iii*
A plane-wave DFT calculation with PBE-GGA was carried out for Ga2Co2Pb after structural relaxation.

Cell: 7.4373 7.4373 2.8406 Å, 90.00 90.00 90.00°
With the nearest neighbours (Å) after each atom.
Space group P4/mbm (No. 127)
Symmetry-distinct sites (fractional):
1 Ga 0.1304 0.3696 0.0000 (multiplicity 4)  6 Co 2.57-2.66, 3 Ga 2.74-2.84
2 Co 0.1560 0.6560 0.5000 (multiplicity 4)  6 Ga 2.57-2.66, 2 Co 2.84
3 Pb 0.0000 0.0000 0.0000 (multiplicity 2)  2 Pb 2.84, 4 Ga 2.91, 8 Co 3.15

Summary:
size of the total moment	0.00	Bohr magnetons per cell


Looking at the structures above, *ii* is most stable, and the difference to the next one is 0.031 eV/atom.